Density functional theory data (PBE-GGA) for a relaxed GaOs2Pb crystal.

Cell: 4.306 4.306 17.999 Å, 90.00 90.00 90.00°
Space group I-42d (No. 122)
Symmetry-distinct sites (fractional):
Ga (0.000, 0.000, 0.000)
Os (0.134, 0.250, 0.125)
Pb (0.000, 0.000, 0.500)

## Properties
- ΔH_f (0 K): 0.808 eV per atom
- Polymorph energy (0 for the lowest one): 103 meV/atom
- E: -6.491 eV/atom
- DOS at the Fermi energy: 0.811 states/eV/atom
- Total magnetic moment: 0.0 μB/cell